CaTl3Cd: optimized geometry, GGA-PBE.

a b c (Å): 6.0268 6.0268 6.0268
angles (deg): 90.00 90.00 90.00
Atoms (fractional coordinates):
Ca  0.0000  0.0000  0.0000
Cd  0.5000  0.5000  0.5000
Tl  0.0000  0.0000  0.5000
Tl  0.0000  0.5000  0.0000
Tl  0.5000  0.0000  0.0000

Computed properties:
Crystal system = cubic
Energy of formation = 43.1 kJ per mole of atoms
DFT total energy = -0.0572 Ha/atom
Space-group type = Pm-3m (221)
Polymorph energy (0 for the lowest one) = 0.606 eV per atom
DOS(E_F) = 5.25 states/eV/cell